1.
LaSeSN2 | PBE | optimized geometry

abc: 4.075 4.075 4.766
angles: 90.00 90.00 90.00
Atoms (fractional coordinates):
La 0.000 0.000 0.000
Se 0.500 0.500 0.500
S 0.500 0.500 0.000
N 0.000 0.500 0.500
N 0.500 0.000 0.500

**Formation energy (no corrections)**: 0.228 eV per atom
**Polymorph energy (0 for the lowest one)**: 0.0 meV/atom
**Total magnetization**: 0.0 μB/cell
**Electronic total energy**: -28.1 eV for the cell shown



2.
LaSeS2N | PBE | optimized geometry

abc: 5.649 5.649 4.244
angles: 90.00 90.00 90.00
Atoms (fractional coordinates):
La 0.000 0.000 0.000
Se 0.500 0.500 0.500
S 0.000 0.500 0.000
S 0.500 0.000 0.000
N 0.000 0.000 0.500

**Formation energy (no corrections)**: 0.632 eV per atom
**Polymorph energy (0 for the lowest one)**: 861.2 meV/atom
**Total magnetization**: 0.0 μB/cell
**Electronic total energy**: -21.8 eV for the cell shown



3.
La4Se2SN | PBE | optimized geometry

abc: 7.138 4.067 7.306
angles: 90.00 108.52 90.00
Atoms (fractional coordinates):
La 0.217 0.000 0.209
La 0.238 0.500 0.781
La 0.762 0.500 0.219
La 0.783 0.000 0.791
Se 0.000 0.000 0.500
Se 0.500 0.500 0.500
S 0.500 0.000 0.000
N 0.000 0.500 0.000

**Formation energy (no corrections)**: -1.849 eV per atom
**Total magnetization**: 0.0 μB/cell
**Electronic total energy**: -53.9 eV for the cell shown



4.
LaSeSN2 | PBE | optimized geometry

abc: 4.088 4.088 6.481
angles: 90.00 90.00 90.00
Atoms (fractional coordinates):
La 0.000 0.000 0.000
Se 0.500 0.500 0.500
S 0.000 0.000 0.500
N 0.000 0.500 0.000
N 0.500 0.000 0.000

**Formation energy (no corrections)**: 1.007 eV per atom
**Polymorph energy (0 for the lowest one)**: 779.2 meV/atom
**Total magnetization**: 0.0 μB/cell
**Electronic total energy**: -24.2 eV for the cell shown